No. 1
Entry from Alexandria via LeMat-Bulk: a relaxed TbPmMgTl crystal (GGA-PBE).

a = 7.654 Å, b = 7.654 Å, c = 7.654 Å
α = 90.00°, β = 90.00°, γ = 90.00°
Space group F-43m (No. 216)
Asymmetric unit:
Tb 0.000 0.000 0.000
Pm 0.000 0.000 0.500
Mg 0.250 0.250 0.250
Tl 0.250 0.250 0.750

The raw total energy comes out at -57.390 eV per cell. As for the density of states at the Fermi level: 14.16 states/eV per cell.

***

No. 2
Entry from Alexandria via LeMat-Bulk: a relaxed Tb2PmMgTl4 crystal (GGA-PBE).

a = 5.2898 Å, b = 5.2898 Å, c = 27.0813 Å
α = 90.00°, β = 90.00°, γ = 120.00°
Space group R-3m (No. 166, hexagonal axes)
Asymmetric unit:
Tb 0.0000 0.0000 0.2433
Pm 0.0000 0.0000 0.0000
Mg 0.0000 0.0000 0.5000
Tl 0.0000 0.0000 0.1248
Tl 0.0000 0.0000 0.3769

The raw total energy comes out at -82.483 eV per cell. As for the density of states at the Fermi level: 14.02 states/eV per cell.

***

The calculation returns the following E_form values, one per record and in order: -0.25 -0.30 eV per atom.